DFT (PBE) results for crystalline Rb2CaPtO6 at its relaxed geometry.

Lattice parameters (Å, degrees): 8.5964 8.5964 8.5964 90.00 90.00 90.00
Space group Fm-3m (No. 225)
One atom of each set of equivalent atoms:
Rb 0.2500 0.2500 0.2500
Ca 0.0000 0.0000 0.0000
Pt 0.0000 0.0000 0.5000
O 0.0000 0.0000 0.2731

ΔE_f (raw)   -1123 meV/atom